Entry 1:
A plane-wave DFT calculation with GGA-PBE was carried out for a relaxed structure of NaTe2RuAu.

Structure (POSCAR):
```
NaTe2RuAu
1.0
-4.852 0.266 -1.324
-0.464 -5.458 0.603
-1.282 0.642 4.828
Te Ru Au Na
2 1 1 1
Direct
0.500 0.000 0.000
0.000 0.000 0.500
0.000 0.000 0.000
0.500 0.500 0.500
0.000 0.500 0.000
```

Summary:
The calculation puts the electronic total energy at -18.26 eV/cell.


Entry 2:
A plane-wave DFT calculation with GGA-PBE was carried out for a relaxed structure of Th6GeSb3As2.

Structure (POSCAR):
```
Th6GeSb3As2
1.0
4.362 0.000 0.000
0.000 8.832 0.240
-2.181 -2.622 9.244
Sb As Th Ge
3 2 6 1
Direct
0.500 0.500 0.000
0.833 0.167 0.666
0.167 0.833 0.334
0.167 0.333 0.334
0.833 0.667 0.666
0.005 0.236 0.010
0.339 0.904 0.678
0.995 0.764 0.990
0.672 0.569 0.343
0.661 0.096 0.322
0.328 0.431 0.657
0.500 0.000 0.000
```

Summary:
The calculation puts the electronic total energy at -83.59 eV/cell.


Entry 3:
A plane-wave DFT calculation with GGA-PBE was carried out for a relaxed structure of ZrAl3Sb.

Structure (POSCAR):
```
ZrAl3Sb
1.0
5.126 0.000 0.000
0.000 5.126 0.000
0.000 0.000 5.126
Zr Al Sb
1 3 1
Direct
0.500 0.500 0.500
0.000 0.000 0.500
0.000 0.500 0.000
0.500 0.000 0.000
0.000 0.000 0.000
```

Summary:
As for the distance to the lowest polymorph of the same formula: 0.1432 eV/atom. The calculation puts the electronic total energy at -18.57 eV/cell.


Entry 4:
A plane-wave DFT calculation with GGA-PBE was carried out for a relaxed structure of Zr2SiBr.

Structure (POSCAR):
```
Zr2SiBr
1.0
-1.852 -4.521 0.284
3.953 -1.763 -2.286
1.455 -0.418 2.839
Br Zr Si
1 2 1
Direct
0.500 0.000 0.500
0.000 0.000 0.000
0.500 0.500 0.000
0.000 0.500 0.500
```

Summary:
As for the distance to the lowest polymorph of the same formula: 0.2522 eV/atom. The calculation puts the electronic total energy at -25.75 eV/cell.


Entry 5:
A plane-wave DFT calculation with GGA-PBE was carried out for a relaxed structure of TbNdGe.

Structure (POSCAR):
```
TbNdGe
1.0
4.283 0.000 0.000
0.000 4.768 0.000
0.000 -2.384 4.129
Tb Ge Nd
1 1 1
Direct
0.102 0.000 0.000
0.267 0.333 0.667
0.631 0.667 0.333
```

Summary:
As for the distance to the lowest polymorph of the same formula: 0.1268 eV/atom. As for the formation energy: -406 meV/atom. The calculation puts the electronic total energy at -15.23 eV/cell.


Entry 6:
A plane-wave DFT calculation with GGA-PBE was carried out for a relaxed structure of HfScNi4.

Structure (POSCAR):
```
HfScNi4
1.0
-4.316 0.963 -2.083
-4.091 -0.150 2.671
-2.366 4.139 1.081
Ni Hf Sc
4 1 1
Direct
0.125 0.625 0.625
0.625 0.625 0.125
0.625 0.125 0.625
0.625 0.625 0.625
0.000 0.000 0.000
0.250 0.250 0.250
```

Summary:
As for the formation energy: -503 meV/atom. The calculation puts the electronic total energy at -42.43 eV/cell.


Entry 7:
A plane-wave DFT calculation with GGA-PBE was carried out for a relaxed structure of Sc8Cu2Pt.

Structure (POSCAR):
```
Sc8Cu2Pt
1.0
4.351 0.000 -1.324
-1.124 6.502 -3.693
0.026 0.091 7.895
Cu Sc Pt
2 8 1
Direct
0.199 0.699 0.398
0.801 0.301 0.602
0.874 0.874 0.749
0.000 0.674 0.000
0.663 0.879 0.326
0.337 0.553 0.674
0.337 0.121 0.674
0.000 0.326 0.000
0.663 0.447 0.326
0.126 0.126 0.251
0.500 0.000 0.000
```

Summary:
As for the formation energy: -247 meV/atom. The calculation puts the electronic total energy at -67.61 eV/cell.


Entry 8:
A plane-wave DFT calculation with GGA-PBE was carried out for a relaxed structure of SrYAl.

Structure (POSCAR):
```
SrYAl
1.0
4.596 -0.001 -0.001
0.000 3.997 -0.002
2.298 2.042 11.244
Y Sr Al
2 2 2
Direct
0.345 0.832 0.748
0.472 0.462 0.494
0.095 0.579 0.248
0.727 0.213 0.984
0.957 0.947 0.524
0.876 0.364 0.685
```

Summary:
As for the distance to the lowest polymorph of the same formula: 0.0362 eV/atom. As for the formation energy: -175 meV/atom. The calculation puts the electronic total energy at -24.83 eV/cell.


Entry 9:
A plane-wave DFT calculation with GGA-PBE was carried out for a relaxed structure of SrLiHo2Se4.

Structure (POSCAR):
```
SrLiHo2Se4
1.0
-2.610 -3.092 0.812
6.534 -2.837 -0.292
1.621 2.295 13.949
Ho Se Sr Li
4 8 2 2
Direct
0.372 0.744 0.558
0.628 0.256 0.058
0.372 0.744 0.942
0.628 0.256 0.442
0.553 0.105 0.250
0.730 0.460 0.617
0.447 0.895 0.750
0.000 0.000 0.500
0.270 0.540 0.383
0.270 0.540 0.117
0.730 0.460 0.883
0.000 0.000 0.000
0.881 0.762 0.250
0.119 0.238 0.750
0.152 0.303 0.250
0.848 0.697 0.750
```

Summary:
The calculation puts the electronic total energy at -81.72 eV/cell.


Entry 10:
A plane-wave DFT calculation with GGA-PBE was carried out for a relaxed structure of Dy6Tm12Zr.

Structure (POSCAR):
```
Dy6Tm12Zr
1.0
-0.286 -8.364 -0.621
5.568 -0.325 6.270
-6.484 0.157 5.324
Dy Zr Tm
6 1 12
Direct
0.273 0.120 0.739
0.727 0.880 0.261
0.261 0.727 0.880
0.880 0.261 0.727
0.120 0.739 0.273
0.739 0.273 0.120
0.000 0.000 0.000
0.209 0.472 0.535
0.528 0.465 0.791
0.791 0.528 0.465
0.472 0.535 0.209
0.052 0.145 0.367
0.367 0.052 0.145
0.633 0.948 0.855
0.145 0.367 0.052
0.535 0.209 0.472
0.855 0.633 0.948
0.948 0.855 0.633
0.465 0.791 0.528
```

Summary:
As for the distance to the lowest polymorph of the same formula: 0.0000 eV/atom. As for the formation energy: 180 meV/atom. The calculation puts the electronic total energy at -86.39 eV/cell.